The following is a DFT calculation (SCAN) of a PBEsol-optimized structure of La5S4NO2. Values from VASP.

Quantum ESPRESSO input file:
```
&SYSTEM
  ibrav = 0, nat = 24, ntyp = 4
/
ATOMIC_SPECIES
O 16.00 O.upf
S 32.06 S.upf
La 138.91 La.upf
N 14.01 N.upf
CELL_PARAMETERS angstrom
-2.702 -0.879 -2.899
7.121 -0.266 -3.714
-1.109 -15.442 5.717
ATOMIC_POSITIONS angstrom
O 3.159 -14.454 1.439
S 1.804 -9.496 1.199
S -0.301 -14.585 1.863
La 1.419 -0.555 -1.154
La 1.891 -16.031 0.258
O 0.151 -2.133 -2.335
N 4.311 -9.083 -1.263
S 1.757 -12.613 -0.653
S 3.596 -5.485 -4.530
La 1.513 -4.025 -3.031
La 2.140 -9.999 -1.804
S 3.611 -2.002 -2.758
S 1.553 -3.974 -0.243
La 4.416 -6.861 -2.035
La 4.647 -13.523 -0.229
N -1.001 -7.503 0.367
La -1.337 -3.064 -0.667
O -0.980 -14.113 5.194
S 1.506 -7.090 -2.095
La 1.170 -6.588 0.908
La -1.106 -9.726 1.139
O 4.290 -2.474 -6.090
La 1.797 -12.561 2.135
S -0.286 -11.102 3.634
```

Summary:
- Mass density: 5.6 g/cm3
- E_form (uncorrected): -2.833 eV per atom

=====

The following is a DFT calculation (SCAN) of a PBEsol-optimized structure of LaSnN2O. Values from VASP.

Quantum ESPRESSO input file:
```
&SYSTEM
  ibrav = 0, nat = 5, ntyp = 4
/
ATOMIC_SPECIES
La 138.91 La.upf
O 16.00 O.upf
N 14.01 N.upf
Sn 118.71 Sn.upf
CELL_PARAMETERS angstrom
-2.819 2.140 2.603
2.392 -1.120 3.511
2.384 3.686 -0.448
ATOMIC_POSITIONS angstrom
La 0.000 0.000 0.000
O 1.192 1.843 -0.224
N -1.409 1.070 1.301
N 1.196 -0.560 1.755
Sn 0.978 2.353 2.833
```

Summary:
- Mass density: 5.9 g/cm3
- E_form (uncorrected): 0.294 eV per atom

=====

The following is a DFT calculation (SCAN) of a PBEsol-optimized structure of SrLaN2O. Values from VASP.

Quantum ESPRESSO input file:
```
&SYSTEM
  ibrav = 0, nat = 5, ntyp = 4
/
ATOMIC_SPECIES
N 14.01 N.upf
La 138.91 La.upf
O 16.00 O.upf
Sr 87.62 Sr.upf
CELL_PARAMETERS angstrom
-2.495 1.076 3.413
0.889 -3.843 1.861
3.589 1.823 2.049
ATOMIC_POSITIONS angstrom
N 0.445 -1.922 0.931
N -1.247 0.538 1.706
La 0.000 0.000 0.000
O 1.795 0.912 1.025
Sr 0.992 -0.472 3.662
```

Summary:
- Mass density: 5.2 g/cm3
- E_form (uncorrected): -0.733 eV per atom

=====

The following is a DFT calculation (SCAN) of a PBEsol-optimized structure of SrLaTa2N3O3. Values from VASP.

Quantum ESPRESSO input file:
```
&SYSTEM
  ibrav = 0, nat = 20, ntyp = 5
/
ATOMIC_SPECIES
N 14.01 N.upf
Ta 180.95 Ta.upf
La 138.91 La.upf
O 16.00 O.upf
Sr 87.62 Sr.upf
CELL_PARAMETERS angstrom
5.632 -0.009 -0.001
0.100 5.635 0.001
0.005 0.004 8.193
ATOMIC_POSITIONS angstrom
N 5.375 2.828 6.118
Ta 2.913 5.602 4.142
La 0.180 5.534 2.063
O 1.702 1.709 7.950
N 3.060 5.528 6.124
Ta 0.119 2.877 4.168
N 0.186 2.819 2.024
O 1.739 1.684 4.289
O 1.183 4.497 8.070
O 4.046 3.952 3.925
Ta 2.886 0.048 0.050
N 4.489 1.136 0.114
O 3.983 3.951 0.125
O 4.547 1.079 3.898
Sr 2.890 2.737 2.079
Ta 5.666 2.766 0.067
N 1.275 4.439 4.169
N 2.521 0.084 2.027
La 2.937 2.956 6.176
Sr 0.032 0.084 6.153
```

Summary:
- Mass density: 8.7 g/cm3
- E_form (uncorrected): -2.413 eV per atom

=====

The following is a DFT calculation (SCAN) of a PBEsol-optimized structure of LaTa2NO5. Values from VASP.

Quantum ESPRESSO input file:
```
&SYSTEM
  ibrav = 0, nat = 36, ntyp = 4
/
ATOMIC_SPECIES
O 16.00 O.upf
Ta 180.95 Ta.upf
N 14.01 N.upf
La 138.91 La.upf
CELL_PARAMETERS angstrom
-1.181 0.210 -5.332
7.416 -0.819 -1.660
-1.261 -11.091 -0.158
ATOMIC_POSITIONS angstrom
O -0.792 -10.748 -5.717
O 1.683 -9.743 -5.197
O 0.865 -8.951 -2.663
O 0.964 -5.441 -0.586
O 2.504 -1.535 -5.637
O 5.535 -2.972 -2.011
Ta 1.026 -4.024 -2.002
Ta 4.483 -2.022 -5.430
N 1.051 -2.423 -1.036
O -1.802 -9.607 -3.316
Ta 3.696 -9.900 -5.180
O 3.442 -11.255 -6.635
La 5.888 -6.688 -5.520
La -0.391 -0.412 -1.565
Ta 0.714 -1.672 -4.671
O 4.066 -6.250 -3.810
N 4.034 -8.309 -6.100
O 1.489 -0.346 -3.267
Ta 4.789 -4.522 -2.872
Ta 4.519 -7.755 -2.446
O 4.006 -3.663 -4.500
N 6.404 -2.284 -5.406
O 2.803 -7.247 -1.471
O -0.462 -7.864 -5.126
Ta -0.086 -9.566 -4.312
O 3.023 -4.322 -1.986
N -1.165 -7.095 -1.711
O 5.207 -5.871 -1.504
O 4.635 -0.791 -3.904
La 2.185 -5.403 -5.155
Ta 0.765 -7.271 -1.686
O 6.455 -4.919 -3.875
La 2.247 -11.073 -2.063
O 0.898 -5.995 -3.176
O 1.200 -3.381 -3.891
O 3.664 -9.289 -3.273
```

Summary:
- Mass density: 8.5 g/cm3
- Relative energy among the computed polymorphs: 0.000 eV/atom
- E_form (uncorrected): -3.036 eV per atom

=====

The following is a DFT calculation (SCAN) of a PBEsol-optimized structure of LaTa2NO5. Values from VASP.

Quantum ESPRESSO input file:
```
&SYSTEM
  ibrav = 0, nat = 36, ntyp = 4
/
ATOMIC_SPECIES
O 16.00 O.upf
N 14.01 N.upf
Ta 180.95 Ta.upf
La 138.91 La.upf
CELL_PARAMETERS angstrom
5.463 0.000 -0.003
-0.002 7.654 0.001
-0.006 -0.005 11.146
ATOMIC_POSITIONS angstrom
O 1.240 3.545 0.279
O 4.219 7.367 10.872
O 1.477 3.561 5.865
N 5.226 1.917 9.511
O 4.598 1.918 1.354
Ta 5.258 7.646 1.580
O 2.058 0.405 8.819
Ta 5.251 3.852 1.604
O 2.045 3.429 8.804
O 1.279 0.295 0.330
La 2.456 5.757 0.442
Ta 3.008 0.001 7.207
N 4.769 7.188 7.846
La 5.218 1.891 5.122
O 0.677 3.384 3.265
Ta 2.953 3.797 7.174
O 3.406 4.260 2.323
Ta 0.184 7.608 9.481
O 3.971 7.360 5.283
O 4.736 4.290 7.900
O 3.407 7.225 2.321
N 0.245 5.739 1.648
N 3.002 1.919 3.958
La 0.248 5.765 5.970
Ta 2.519 3.802 3.964
O 2.446 5.728 7.173
O 1.900 5.736 4.223
O 4.196 4.106 10.873
La 2.992 1.890 10.728
O 3.509 1.926 6.930
O 0.671 0.449 3.256
Ta 0.180 3.778 9.565
Ta 2.508 0.020 3.964
O 3.968 4.114 5.321
O 0.868 5.740 9.806
O 1.494 0.261 5.819
```

Summary:
- Mass density: 8.5 g/cm3
- Relative energy among the computed polymorphs: 0.009 eV/atom
- E_form (uncorrected): -3.026 eV per atom

=====

The following is a DFT calculation (SCAN) of a PBEsol-optimized structure of LaTa2NO5. Values from VASP.

Quantum ESPRESSO input file:
```
&SYSTEM
  ibrav = 0, nat = 36, ntyp = 4
/
ATOMIC_SPECIES
Ta 180.95 Ta.upf
O 16.00 O.upf
N 14.01 N.upf
La 138.91 La.upf
CELL_PARAMETERS angstrom
-2.044 5.040 0.538
-5.591 -1.743 -4.917
-6.367 -3.487 8.476
ATOMIC_POSITIONS angstrom
Ta -10.261 -2.510 0.698
Ta -12.619 -0.780 2.780
O -8.933 1.768 -1.743
O -4.022 -1.251 2.068
O -5.160 3.878 -1.872
N -11.068 -0.766 3.919
Ta -7.561 -1.687 3.170
O -4.232 0.702 4.114
Ta -5.479 -1.066 0.654
O -8.835 1.023 6.735
La -6.459 1.701 3.699
O -10.570 -3.789 2.088
O -2.444 1.084 1.669
O -7.544 3.145 -4.009
La -8.516 0.674 0.601
O -6.603 -0.035 2.023
O -8.999 -1.450 1.794
O -7.488 -0.862 8.371
O -6.210 1.266 -2.340
Ta -9.861 0.144 5.207
N -8.403 -3.098 4.080
Ta -7.931 1.337 -3.316
O -3.921 3.073 0.425
O -8.786 -3.384 -0.282
O -6.406 -2.641 1.857
O -4.539 0.410 -0.191
La -2.067 0.464 -0.857
Ta -5.237 2.174 -0.842
N -6.749 2.417 0.244
O -5.900 -1.639 4.346
O -9.858 -1.602 6.280
O -6.117 0.547 6.035
N -7.072 -1.027 -0.533
La -10.852 -3.160 4.616
Ta -8.283 -1.880 -1.761
O -8.228 -0.088 4.180
```

Summary:
- Mass density: 8.5 g/cm3
- Relative energy among the computed polymorphs: 0.006 eV/atom
- E_form (uncorrected): -3.030 eV per atom

=====

The following is a DFT calculation (SCAN) of a PBEsol-optimized structure of LaTiNO2. Values from VASP.

Quantum ESPRESSO input file:
```
&SYSTEM
  ibrav = 0, nat = 10, ntyp = 4
/
ATOMIC_SPECIES
La 138.91 La.upf
N 14.01 N.upf
O 16.00 O.upf
Ti 47.87 Ti.upf
CELL_PARAMETERS angstrom
-0.935 3.204 1.876
-4.294 0.790 -3.487
-3.344 -2.991 3.441
ATOMIC_POSITIONS angstrom
La -3.650 -2.107 1.778
N -4.287 0.501 0.915
O -5.841 -1.752 0.081
O -1.797 -0.449 -0.128
Ti -2.443 0.992 0.995
Ti -6.130 0.010 0.835
N -2.140 0.106 2.658
La -3.989 -0.095 -1.825
O -2.614 1.997 -0.806
O -0.467 1.602 0.938
```

Summary:
- Mass density: 6.4 g/cm3
- E_form (uncorrected): -2.996 eV per atom

=====

The following is a DFT calculation (SCAN) of a PBEsol-optimized structure of La3Ti2N3O4. Values from VASP.

Quantum ESPRESSO input file:
```
&SYSTEM
  ibrav = 0, nat = 12, ntyp = 4
/
ATOMIC_SPECIES
N 14.01 N.upf
O 16.00 O.upf
Ti 47.87 Ti.upf
La 138.91 La.upf
CELL_PARAMETERS angstrom
3.908 0.000 0.000
0.000 3.908 0.000
-1.954 -1.954 10.263
ATOMIC_POSITIONS angstrom
N 1.954 0.000 2.044
O 0.000 1.954 2.165
O 0.000 1.954 8.098
Ti 0.000 0.000 8.343
O 1.954 1.954 4.198
La 0.000 0.000 3.735
La 0.000 0.000 0.000
N 1.954 1.954 0.000
N 1.954 0.000 8.219
O 0.000 0.000 6.064
Ti 1.954 1.954 1.919
La 1.954 1.954 6.528
```

Summary:
- Mass density: 6.6 g/cm3
- Relative energy among the computed polymorphs: 0.000 eV/atom
- E_form (uncorrected): -2.812 eV per atom

=====

The following is a DFT calculation (SCAN) of a PBEsol-optimized structure of LaTiNO2. Values from VASP.

Quantum ESPRESSO input file:
```
&SYSTEM
  ibrav = 0, nat = 10, ntyp = 4
/
ATOMIC_SPECIES
N 14.01 N.upf
La 138.91 La.upf
Ti 47.87 Ti.upf
O 16.00 O.upf
CELL_PARAMETERS angstrom
5.529 0.005 -0.002
-2.692 4.830 0.002
2.715 1.657 4.523
ATOMIC_POSITIONS angstrom
N 3.691 5.959 3.559
La 2.111 5.209 1.131
Ti 2.131 5.249 4.439
Ti 2.014 2.068 2.347
O 3.223 2.983 0.916
O 3.637 1.616 3.392
O 0.496 2.458 1.131
La 4.860 3.700 3.392
N 1.873 3.776 3.226
O -0.374 5.095 1.346
```

Summary:
- Mass density: 6.4 g/cm3
- E_form (uncorrected): -3.028 eV per atom

=====

The following is a DFT calculation (SCAN) of a PBEsol-optimized structure of LaTiNO2. Values from VASP.

Quantum ESPRESSO input file:
```
&SYSTEM
  ibrav = 0, nat = 20, ntyp = 4
/
ATOMIC_SPECIES
O 16.00 O.upf
N 14.01 N.upf
La 138.91 La.upf
Ti 47.87 Ti.upf
CELL_PARAMETERS angstrom
-0.908 0.725 -5.450
-5.443 -0.597 0.946
-0.633 7.702 1.110
ATOMIC_POSITIONS angstrom
O -2.420 4.115 -3.394
N -1.983 0.428 -3.811
N -4.977 7.354 0.433
La -0.654 2.208 -2.465
Ti -6.319 0.180 -4.470
N -3.909 5.797 -1.678
O -0.470 1.971 -0.008
Ti -0.326 3.867 0.544
Ti -3.530 4.016 -1.713
La -2.884 1.572 0.721
O -2.198 7.320 -0.012
La -3.234 5.622 1.294
O -1.839 4.278 -0.590
La -0.970 6.306 -1.864
Ti -3.246 0.091 -2.295
O -4.516 3.581 0.002
N -4.775 0.498 -3.361
O -2.979 1.977 -1.664
O -6.524 5.812 -3.400
O -5.102 3.478 -2.815
```

Summary:
- Mass density: 6.4 g/cm3
- E_form (uncorrected): -2.998 eV per atom

=====

The following is a DFT calculation (SCAN) of a PBEsol-optimized structure of LaTiNO2. Values from VASP.

Quantum ESPRESSO input file:
```
&SYSTEM
  ibrav = 0, nat = 5, ntyp = 4
/
ATOMIC_SPECIES
O 16.00 O.upf
Ti 47.87 Ti.upf
La 138.91 La.upf
N 14.01 N.upf
CELL_PARAMETERS angstrom
-0.140 -0.222 4.361
-4.277 -0.965 -0.187
0.973 -4.275 -0.187
ATOMIC_POSITIONS angstrom
O -2.138 -0.483 -0.093
Ti -1.722 -2.731 1.994
La 0.000 0.000 0.000
O 0.486 -2.138 -0.093
N -0.070 -0.111 2.181
```

Summary:
- Mass density: 4.6 g/cm3
- E_form (uncorrected): -0.611 eV per atom

=====

The following is a DFT calculation (SCAN) of a PBEsol-optimized structure of LaTiNO2. Values from VASP.

Quantum ESPRESSO input file:
```
&SYSTEM
  ibrav = 0, nat = 10, ntyp = 4
/
ATOMIC_SPECIES
O 16.00 O.upf
La 138.91 La.upf
Ti 47.87 Ti.upf
N 14.01 N.upf
CELL_PARAMETERS angstrom
-1.580 -2.368 -4.686
4.406 -3.371 0.218
-0.703 -5.503 -0.190
ATOMIC_POSITIONS angstrom
O 2.755 -3.312 -0.859
O -0.632 -7.930 -3.799
La 0.367 -4.196 -1.211
Ti 2.203 -1.685 0.109
N -0.737 -5.140 -3.570
O 1.965 -4.496 -3.202
N 2.860 -6.102 -1.088
Ti -0.790 -1.184 -2.343
O 0.158 -6.746 -1.456
La 1.755 -7.046 -3.447
```

Summary:
- Mass density: 6.4 g/cm3
- E_form (uncorrected): -2.975 eV per atom

=====

The following is a DFT calculation (SCAN) of a PBEsol-optimized structure of LaTiNO2. Values from VASP.

Quantum ESPRESSO input file:
```
&SYSTEM
  ibrav = 0, nat = 20, ntyp = 4
/
ATOMIC_SPECIES
O 16.00 O.upf
La 138.91 La.upf
N 14.01 N.upf
Ti 47.87 Ti.upf
CELL_PARAMETERS angstrom
5.515 0.000 0.000
0.000 5.502 -0.019
0.000 -0.040 7.965
ATOMIC_POSITIONS angstrom
O 1.670 3.018 3.871
La 2.737 4.115 1.916
N 3.908 2.966 7.861
N 5.391 4.153 2.003
O 3.824 5.165 4.065
Ti 2.717 1.344 4.083
O 4.427 2.444 4.075
La 5.494 1.346 6.030
O 1.729 5.205 0.073
O 0.198 4.172 5.940
N 1.150 2.496 0.085
O 1.066 0.297 3.881
Ti 5.473 4.054 0.014
La 5.444 1.366 1.920
O 2.955 1.290 2.006
O 4.487 0.256 7.873
Ti 2.715 1.408 7.932
La 2.686 4.095 6.026
Ti 5.474 4.117 3.863
N 2.633 1.309 5.943
```

Summary:
- Mass density: 6.4 g/cm3
- E_form (uncorrected): -3.025 eV per atom

=====

The following is a DFT calculation (SCAN) of a PBEsol-optimized structure of La3Ti2N3O4. Values from VASP.

Quantum ESPRESSO input file:
```
&SYSTEM
  ibrav = 0, nat = 12, ntyp = 4
/
ATOMIC_SPECIES
O 16.00 O.upf
La 138.91 La.upf
Ti 47.87 Ti.upf
N 14.01 N.upf
CELL_PARAMETERS angstrom
-1.118 0.632 -3.627
-0.213 -3.911 -0.615
-9.139 1.696 5.154
ATOMIC_POSITIONS angstrom
O -4.005 0.023 1.239
La -4.234 -1.619 -1.017
O -2.601 0.328 -1.182
Ti -1.839 0.011 0.569
Ti -8.632 -1.593 0.343
N -8.386 0.361 0.607
N -2.084 -1.944 0.304
N 0.000 0.000 0.000
O -7.870 -1.910 2.094
La -0.666 -1.640 -2.121
O -6.465 -1.606 -0.327
La -6.236 0.036 1.929
```

Summary:
- Mass density: 6.6 g/cm3
- Relative energy among the computed polymorphs: 0.004 eV/atom
- E_form (uncorrected): -2.808 eV per atom

=====

The following is a DFT calculation (SCAN) of a PBEsol-optimized structure of LaTiNO2. Values from VASP.

Quantum ESPRESSO input file:
```
&SYSTEM
  ibrav = 0, nat = 5, ntyp = 4
/
ATOMIC_SPECIES
O 16.00 O.upf
N 14.01 N.upf
Ti 47.87 Ti.upf
La 138.91 La.upf
CELL_PARAMETERS angstrom
3.880 0.000 0.000
0.000 3.880 0.000
0.000 0.000 3.998
ATOMIC_POSITIONS angstrom
O 0.000 1.940 0.000
N 0.000 0.000 1.999
Ti 0.000 0.000 0.000
O 1.940 0.000 0.000
La 1.940 1.940 1.999
```

Summary:
- Mass density: 6.4 g/cm3
- E_form (uncorrected): -2.946 eV per atom

=====

The following is a DFT calculation (SCAN) of a PBEsol-optimized structure of LaZnN2O. Values from VASP.

Quantum ESPRESSO input file:
```
&SYSTEM
  ibrav = 0, nat = 5, ntyp = 4
/
ATOMIC_SPECIES
N 14.01 N.upf
O 16.00 O.upf
La 138.91 La.upf
Zn 65.41 Zn.upf
CELL_PARAMETERS angstrom
4.189 0.000 0.000
0.000 4.391 0.000
0.000 0.000 4.391
ATOMIC_POSITIONS angstrom
N 0.000 2.196 0.000
O 2.095 0.000 0.000
N 0.000 0.000 2.196
La 0.000 0.000 0.000
Zn 2.095 2.196 2.196
```

Summary:
- Mass density: 5.1 g/cm3
- E_form (uncorrected): 0.701 eV per atom